Below is AgP2WO8 after structural relaxation, with properties calculated at the PBE with a Hubbard U level.

Lattice parameters (Å, degrees): 5.260 5.260 7.103 90.00 90.00 120.00
Element x y z (fractional)
P 0.333 0.667 0.749
P 0.667 0.333 0.251
O 0.175 0.350 0.835
O 0.825 0.175 0.165
O 0.333 0.667 0.540
O 0.350 0.175 0.165
O 0.667 0.333 0.460
O 0.175 0.825 0.835
O 0.825 0.650 0.165
O 0.650 0.825 0.835
Ag 0.000 0.000 0.500
W 0.000 0.000 0.000

Results
DFT total energy = -6.859 eV/atom
space-group type = P-3m1